Compound: PuTaIn
Source: OQMD via LeMat-Bulk
Functional: PBE-GGA
Structure: relaxed

```
data_PuTaIn
_chemical_formula_sum 'Pu4 Ta4 In4'
_cell_length_a 6.8496
_cell_length_b 6.8496
_cell_length_c 6.8496
_cell_angle_alpha 90.00
_cell_angle_beta 90.00
_cell_angle_gamma 90.00
_symmetry_space_group_name_H-M 'P 1'
_symmetry_Int_Tables_number 1
_symmetry_space_group_name_Hall 'P 1'
loop_
_atom_site_label
_atom_site_type_symbol
_atom_site_fract_x
_atom_site_fract_y
_atom_site_fract_z
Pu1 Pu 0.0000 0.0000 0.0000
Pu2 Pu 0.0000 0.5000 0.5000
Pu3 Pu 0.5000 0.0000 0.5000
Pu4 Pu 0.5000 0.5000 0.0000
Ta1 Ta 0.0000 0.0000 0.5000
Ta2 Ta 0.0000 0.5000 0.0000
Ta3 Ta 0.5000 0.0000 0.0000
Ta4 Ta 0.5000 0.5000 0.5000
In1 In 0.2500 0.2500 0.2500
In2 In 0.2500 0.7500 0.7500
In3 In 0.7500 0.2500 0.7500
In4 In 0.7500 0.7500 0.2500
```

**Symmetry**: F-43m
**E_tot**: -8.7216 eV/atom
**Volume**: 26.78 A^3/atom


Compound: PuInTc
Source: OQMD via LeMat-Bulk
Functional: PBE-GGA
Structure: relaxed

```
data_PuInTc
_chemical_formula_sum 'Pu4 In4 Tc4'
_cell_length_a 6.5909
_cell_length_b 6.5909
_cell_length_c 6.5909
_cell_angle_alpha 90.00
_cell_angle_beta 90.00
_cell_angle_gamma 90.00
_symmetry_space_group_name_H-M 'P 1'
_symmetry_Int_Tables_number 1
_symmetry_space_group_name_Hall 'P 1'
loop_
_atom_site_label
_atom_site_type_symbol
_atom_site_fract_x
_atom_site_fract_y
_atom_site_fract_z
Pu1 Pu 0.0000 0.0000 0.0000
Pu2 Pu 0.0000 0.5000 0.5000
Pu3 Pu 0.5000 0.0000 0.5000
Pu4 Pu 0.5000 0.5000 0.0000
In1 In 0.2500 0.2500 0.2500
In2 In 0.2500 0.7500 0.7500
In3 In 0.7500 0.2500 0.7500
In4 In 0.7500 0.7500 0.2500
Tc1 Tc 0.0000 0.0000 0.5000
Tc2 Tc 0.0000 0.5000 0.0000
Tc3 Tc 0.5000 0.0000 0.0000
Tc4 Tc 0.5000 0.5000 0.5000
```

**Symmetry**: F-43m
**Energy above the most stable polymorph in this dataset**: 0 meV/atom
**E_tot**: -8.3331 eV/atom
**Volume**: 23.86 A^3/atom


Compound: PuInTc
Source: OQMD via LeMat-Bulk
Functional: PBE-GGA
Structure: relaxed

```
data_PuInTc
_chemical_formula_sum 'Pu4 In4 Tc4'
_cell_length_a 6.5569
_cell_length_b 6.5569
_cell_length_c 6.5569
_cell_angle_alpha 90.00
_cell_angle_beta 90.00
_cell_angle_gamma 90.00
_symmetry_space_group_name_H-M 'P 1'
_symmetry_Int_Tables_number 1
_symmetry_space_group_name_Hall 'P 1'
loop_
_atom_site_label
_atom_site_type_symbol
_atom_site_fract_x
_atom_site_fract_y
_atom_site_fract_z
Pu1 Pu 0.0000 0.0000 0.0000
Pu2 Pu 0.0000 0.5000 0.5000
Pu3 Pu 0.5000 0.0000 0.5000
Pu4 Pu 0.5000 0.5000 0.0000
In1 In 0.2500 0.2500 0.2500
In2 In 0.2500 0.7500 0.7500
In3 In 0.7500 0.2500 0.7500
In4 In 0.7500 0.7500 0.2500
Tc1 Tc 0.2500 0.2500 0.7500
Tc2 Tc 0.2500 0.7500 0.2500
Tc3 Tc 0.7500 0.2500 0.2500
Tc4 Tc 0.7500 0.7500 0.7500
```

**Symmetry**: F-43m
**Energy above the most stable polymorph in this dataset**: 203 meV/atom
**E_tot**: -8.1300 eV/atom
**Volume**: 23.49 A^3/atom


Compound: PuThIn
Source: OQMD via LeMat-Bulk
Functional: PBE-GGA
Structure: relaxed

```
data_PuThIn
_chemical_formula_sum 'Pu4 Th4 In4'
_cell_length_a 7.2054
_cell_length_b 7.2054
_cell_length_c 7.2054
_cell_angle_alpha 90.00
_cell_angle_beta 90.00
_cell_angle_gamma 90.00
_symmetry_space_group_name_H-M 'P 1'
_symmetry_Int_Tables_number 1
_symmetry_space_group_name_Hall 'P 1'
loop_
_atom_site_label
_atom_site_type_symbol
_atom_site_fract_x
_atom_site_fract_y
_atom_site_fract_z
Pu1 Pu 0.0000 0.0000 0.0000
Pu2 Pu 0.0000 0.5000 0.5000
Pu3 Pu 0.5000 0.0000 0.5000
Pu4 Pu 0.5000 0.5000 0.0000
Th1 Th 0.0000 0.0000 0.5000
Th2 Th 0.0000 0.5000 0.0000
Th3 Th 0.5000 0.0000 0.0000
Th4 Th 0.5000 0.5000 0.5000
In1 In 0.2500 0.2500 0.2500
In2 In 0.2500 0.7500 0.7500
In3 In 0.7500 0.2500 0.7500
In4 In 0.7500 0.7500 0.2500
```

**Symmetry**: F-43m
**Energy above the most stable polymorph in this dataset**: 0 meV/atom
**E_tot**: -7.8017 eV/atom
**Volume**: 31.17 A^3/atom


Compound: PuZnIn
Source: OQMD via LeMat-Bulk
Functional: PBE-GGA
Structure: relaxed

```
data_PuZnIn
_chemical_formula_sum 'Pu4 Zn4 In4'
_cell_length_a 7.0495
_cell_length_b 7.0495
_cell_length_c 7.0495
_cell_angle_alpha 90.00
_cell_angle_beta 90.00
_cell_angle_gamma 90.00
_symmetry_space_group_name_H-M 'P 1'
_symmetry_Int_Tables_number 1
_symmetry_space_group_name_Hall 'P 1'
loop_
_atom_site_label
_atom_site_type_symbol
_atom_site_fract_x
_atom_site_fract_y
_atom_site_fract_z
Pu1 Pu 0.0000 0.0000 0.0000
Pu2 Pu 0.0000 0.5000 0.5000
Pu3 Pu 0.5000 0.0000 0.5000
Pu4 Pu 0.5000 0.5000 0.0000
Zn1 Zn 0.2500 0.2500 0.7500
Zn2 Zn 0.2500 0.7500 0.2500
Zn3 Zn 0.7500 0.2500 0.2500
Zn4 Zn 0.7500 0.7500 0.7500
In1 In 0.2500 0.2500 0.2500
In2 In 0.2500 0.7500 0.7500
In3 In 0.7500 0.2500 0.7500
In4 In 0.7500 0.7500 0.2500
```

**Symmetry**: F-43m
**E_tot**: -5.6775 eV/atom
**Volume**: 29.19 A^3/atom


Compound: PuZnIn
Source: OQMD via LeMat-Bulk
Functional: PBE-GGA
Structure: relaxed

```
data_PuZnIn
_chemical_formula_sum 'Pu4 Zn4 In4'
_cell_length_a 6.3506
_cell_length_b 6.3506
_cell_length_c 6.3506
_cell_angle_alpha 90.00
_cell_angle_beta 90.00
_cell_angle_gamma 90.00
_symmetry_space_group_name_H-M 'P 1'
_symmetry_Int_Tables_number 1
_symmetry_space_group_name_Hall 'P 1'
loop_
_atom_site_label
_atom_site_type_symbol
_atom_site_fract_x
_atom_site_fract_y
_atom_site_fract_z
Pu1 Pu 0.0000 0.0000 0.0000
Pu2 Pu 0.0000 0.5000 0.5000
Pu3 Pu 0.5000 0.0000 0.5000
Pu4 Pu 0.5000 0.5000 0.0000
Zn1 Zn 0.2500 0.2500 0.7500
Zn2 Zn 0.2500 0.7500 0.2500
Zn3 Zn 0.7500 0.2500 0.2500
Zn4 Zn 0.7500 0.7500 0.7500
In1 In 0.0000 0.0000 0.5000
In2 In 0.0000 0.5000 0.0000
In3 In 0.5000 0.0000 0.0000
In4 In 0.5000 0.5000 0.5000
```

**Symmetry**: F-43m
**E_tot**: -5.9485 eV/atom
**Volume**: 21.34 A^3/atom


Compound: PuZrIn
Source: OQMD via LeMat-Bulk
Functional: PBE-GGA
Structure: relaxed

```
data_PuZrIn
_chemical_formula_sum 'Pu4 Zr4 In4'
_cell_length_a 7.0832
_cell_length_b 7.0832
_cell_length_c 7.0832
_cell_angle_alpha 90.00
_cell_angle_beta 90.00
_cell_angle_gamma 90.00
_symmetry_space_group_name_H-M 'P 1'
_symmetry_Int_Tables_number 1
_symmetry_space_group_name_Hall 'P 1'
loop_
_atom_site_label
_atom_site_type_symbol
_atom_site_fract_x
_atom_site_fract_y
_atom_site_fract_z
Pu1 Pu 0.0000 0.0000 0.0000
Pu2 Pu 0.0000 0.5000 0.5000
Pu3 Pu 0.5000 0.0000 0.5000
Pu4 Pu 0.5000 0.5000 0.0000
Zr1 Zr 0.0000 0.0000 0.5000
Zr2 Zr 0.0000 0.5000 0.0000
Zr3 Zr 0.5000 0.0000 0.0000
Zr4 Zr 0.5000 0.5000 0.5000
In1 In 0.2500 0.2500 0.2500
In2 In 0.2500 0.7500 0.7500
In3 In 0.7500 0.2500 0.7500
In4 In 0.7500 0.7500 0.2500
```

**Symmetry**: F-43m
**Energy above the most stable polymorph in this dataset**: 0 meV/atom
**E_tot**: -8.1171 eV/atom
**Volume**: 29.62 A^3/atom


Compound: RbInRe
Source: OQMD via LeMat-Bulk
Functional: PBE-GGA
Structure: relaxed

```
data_RbInRe
_chemical_formula_sum 'Rb4 In4 Re4'
_cell_length_a 7.5991
_cell_length_b 7.5991
_cell_length_c 7.5991
_cell_angle_alpha 90.00
_cell_angle_beta 90.00
_cell_angle_gamma 90.00
_symmetry_space_group_name_H-M 'P 1'
_symmetry_Int_Tables_number 1
_symmetry_space_group_name_Hall 'P 1'
loop_
_atom_site_label
_atom_site_type_symbol
_atom_site_fract_x
_atom_site_fract_y
_atom_site_fract_z
Rb1 Rb 0.0000 0.0000 0.0000
Rb2 Rb 0.0000 0.5000 0.5000
Rb3 Rb 0.5000 0.0000 0.5000
Rb4 Rb 0.5000 0.5000 0.0000
In1 In 0.2500 0.2500 0.7500
In2 In 0.2500 0.7500 0.2500
In3 In 0.7500 0.2500 0.2500
In4 In 0.7500 0.7500 0.7500
Re1 Re 0.2500 0.2500 0.2500
Re2 Re 0.2500 0.7500 0.7500
Re3 Re 0.7500 0.2500 0.7500
Re4 Re 0.7500 0.7500 0.2500
```

**Symmetry**: F-43m
**Energy above the most stable polymorph in this dataset**: 574 meV/atom
**E_tot**: -3.0616 eV/atom
**Volume**: 36.57 A^3/atom


Compound: RbInRe
Source: OQMD via LeMat-Bulk
Functional: PBE-GGA
Structure: relaxed

```
data_RbInRe
_chemical_formula_sum 'Rb4 In4 Re4'
_cell_length_a 7.2275
_cell_length_b 7.2275
_cell_length_c 7.2275
_cell_angle_alpha 90.00
_cell_angle_beta 90.00
_cell_angle_gamma 90.00
_symmetry_space_group_name_H-M 'P 1'
_symmetry_Int_Tables_number 1
_symmetry_space_group_name_Hall 'P 1'
loop_
_atom_site_label
_atom_site_type_symbol
_atom_site_fract_x
_atom_site_fract_y
_atom_site_fract_z
Rb1 Rb 0.0000 0.0000 0.0000
Rb2 Rb 0.0000 0.5000 0.5000
Rb3 Rb 0.5000 0.0000 0.5000
Rb4 Rb 0.5000 0.5000 0.0000
In1 In 0.0000 0.0000 0.5000
In2 In 0.0000 0.5000 0.0000
In3 In 0.5000 0.0000 0.0000
In4 In 0.5000 0.5000 0.5000
Re1 Re 0.2500 0.2500 0.7500
Re2 Re 0.2500 0.7500 0.2500
Re3 Re 0.7500 0.2500 0.2500
Re4 Re 0.7500 0.7500 0.7500
```

**Symmetry**: F-43m
**Energy above the most stable polymorph in this dataset**: 0 meV/atom
**E_tot**: -3.6353 eV/atom
**Volume**: 31.46 A^3/atom


Compound: RbThInS3
Source: OQMD via LeMat-Bulk
Functional: PBE-GGA
Structure: relaxed

```
data_RbThInS3
_chemical_formula_sum 'Rb2 Th2 In2 S6'
_cell_length_a 8.7579
_cell_length_b 8.7579
_cell_length_c 11.5904
_cell_angle_alpha 90.00
_cell_angle_beta 90.00
_cell_angle_gamma 152.46
_symmetry_space_group_name_H-M 'P 1'
_symmetry_Int_Tables_number 1
_symmetry_space_group_name_Hall 'P 1'
loop_
_atom_site_label
_atom_site_type_symbol
_atom_site_fract_x
_atom_site_fract_y
_atom_site_fract_z
Rb1 Rb 0.1827 0.8173 0.7500
Rb2 Rb 0.8173 0.1827 0.2500
Th1 Th 0.5000 0.5000 0.0000
Th2 Th 0.5000 0.5000 0.5000
In1 In 0.1276 0.8724 0.2500
In2 In 0.8724 0.1276 0.7500
S1 S 0.1060 0.8940 0.5022
S2 S 0.1060 0.8940 0.9978
S3 S 0.4874 0.5126 0.7500
S4 S 0.5126 0.4874 0.2500
S5 S 0.8940 0.1060 0.0022
S6 S 0.8940 0.1060 0.4978
```

**Symmetry**: Cmcm
**E_tot**: -5.2617 eV/atom
**Volume**: 34.26 A^3/atom


Compound: RbZrInS3
Source: OQMD via LeMat-Bulk
Functional: PBE-GGA
Structure: relaxed

```
data_RbZrInS3
_chemical_formula_sum 'Rb2 Zr2 In2 S6'
_cell_length_a 8.1016
_cell_length_b 8.1016
_cell_length_c 10.2236
_cell_angle_alpha 90.00
_cell_angle_beta 90.00
_cell_angle_gamma 151.69
_symmetry_space_group_name_H-M 'P 1'
_symmetry_Int_Tables_number 1
_symmetry_space_group_name_Hall 'P 1'
loop_
_atom_site_label
_atom_site_type_symbol
_atom_site_fract_x
_atom_site_fract_y
_atom_site_fract_z
Rb1 Rb 0.2497 0.7503 0.7500
Rb2 Rb 0.7503 0.2497 0.2500
Zr1 Zr 0.0000 0.0000 0.0000
Zr2 Zr 0.0000 0.0000 0.5000
In1 In 0.4675 0.5325 0.2500
In2 In 0.5325 0.4675 0.7500
S1 S 0.0729 0.9271 0.2500
S2 S 0.3827 0.6173 0.0423
S3 S 0.3827 0.6173 0.4577
S4 S 0.6173 0.3827 0.5423
S5 S 0.6173 0.3827 0.9577
S6 S 0.9271 0.0729 0.7500
```

**Symmetry**: Cmcm
**E_tot**: -4.9642 eV/atom
**Volume**: 26.52 A^3/atom


Compound: RbSmInSe3
Source: OQMD via LeMat-Bulk
Functional: PBE-GGA
Structure: relaxed

```
data_RbSmInSe3
_chemical_formula_sum 'Rb2 Sm2 In2 Se6'
_cell_length_a 7.9135
_cell_length_b 7.9135
_cell_length_c 11.2684
_cell_angle_alpha 90.00
_cell_angle_beta 90.00
_cell_angle_gamma 145.01
_symmetry_space_group_name_H-M 'P 1'
_symmetry_Int_Tables_number 1
_symmetry_space_group_name_Hall 'P 1'
loop_
_atom_site_label
_atom_site_type_symbol
_atom_site_fract_x
_atom_site_fract_y
_atom_site_fract_z
Rb1 Rb 0.2487 0.7513 0.7500
Rb2 Rb 0.7513 0.2487 0.2500
Sm1 Sm 0.5000 0.5000 0.0000
Sm2 Sm 0.5000 0.5000 0.5000
In1 In 0.0170 0.9830 0.2500
In2 In 0.9830 0.0170 0.7500
Se1 Se 0.1211 0.8789 0.0545
Se2 Se 0.1211 0.8789 0.4455
Se3 Se 0.4327 0.5673 0.2500
Se4 Se 0.5673 0.4327 0.7500
Se5 Se 0.8789 0.1211 0.5545
Se6 Se 0.8789 0.1211 0.9455
```

**Symmetry**: Cmcm
**E_tot**: -4.3164 eV/atom
**Volume**: 33.72 A^3/atom